No. 1
Computed, not measured: crystalline TbTmPd2 at its relaxed geometry at the GGA-PBE level of DFT.

Cell lengths 4.589, 5.528, 6.900 Å; angles 89.04, 90.00, 90.00 degrees
Sites, in units of the cell vectors:
1 Pd 0.250 0.347 0.046
2 Pd 0.750 0.841 0.463
3 Pd 0.250 0.159 0.537
4 Pd 0.750 0.653 0.954
5 Tb 0.250 0.854 0.184
6 Tb 0.750 0.146 0.816
7 Tm 0.750 0.357 0.318
8 Tm 0.250 0.643 0.682

SG   P2_1/m (11)
Size of the total moment   0.0 μB/cell
Energy of formation   -941 meV/atom


No. 2
Computed, not measured: crystalline TbTmPd2 at its relaxed geometry at the GGA-PBE level of DFT.

Cell lengths 4.467, 5.666, 6.881 Å; angles 90.00, 90.00, 90.00 degrees
Sites, in units of the cell vectors:
1 Pd 0.500 0.598 0.042
2 Pd 0.000 0.092 0.458
3 Pd 0.500 0.402 0.542
4 Pd 0.000 0.908 0.958
5 Tb 0.000 0.609 0.320
6 Tb 0.000 0.391 0.820
7 Tm 0.500 0.109 0.181
8 Tm 0.500 0.891 0.681

SG   Pmc2_1 (26)
Size of the total moment   0.0 μB/cell
Energy of formation   -935 meV/atom


Among the records above, which one has the highest energy of formation? number 2